Entry 1:
Compound: RbAc2NpS6
Source: the Alexandria database
Functional: PBE-GGA
Structure: relaxed

Computed properties:
E_form (uncorrected): -16.2 eV/f.u.

Cell: 7.489 7.489 7.891 Å, 61.67 61.67 60.00°
Each line ends with the local moment (μB).
Fractional coordinates of all 10 atoms:
Rb1 0.792 0.792 0.625  0.00
Ac1 0.527 0.528 0.417  -0.01
Ac2 0.007 0.007 0.980  -0.01
Np1 0.327 0.327 0.020  2.61
S1 0.569 0.240 0.229  -0.06
S2 0.240 0.962 0.229  -0.06
S3 0.962 0.569 0.229  -0.06
S4 0.362 0.700 0.762  -0.08
S5 0.700 0.176 0.762  -0.08
S6 0.176 0.362 0.762  -0.08

Entry 2:
Compound: SrCa2PuN4
Source: the Alexandria database
Functional: PBE-GGA
Structure: relaxed

Computed properties:
E_form (uncorrected): -7.7 eV/f.u.

Cell: 7.101 7.101 6.997 Å, 119.51 119.51 90.63°
Each line ends with the local moment (μB).
Fractional coordinates of all 16 atoms:
Sr1 0.000 0.500 0.000  -0.01
Sr2 0.000 0.500 0.500  -0.01
Ca1 0.500 0.000 0.000  -0.01
Ca2 0.500 0.000 0.500  -0.01
Ca3 0.000 0.000 0.500  -0.01
Ca4 0.500 0.500 0.000  -0.01
Pu1 0.500 0.500 0.500  2.75
Pu2 0.000 0.000 0.000  2.75
N1 0.207 0.810 0.008  -0.13
N2 0.690 0.293 0.492  -0.13
N3 0.310 0.707 0.508  -0.13
N4 0.793 0.190 0.992  -0.13
N5 0.747 0.754 0.983  -0.14
N6 0.746 0.753 0.517  -0.14
N7 0.254 0.247 0.483  -0.14
N8 0.253 0.246 0.017  -0.14